Entry 1:
{"formula": "HoNpRhO6", "functional": "PBE-GGA", "state": "optimized geometry", "formation_energy_uncorrected_ev_per_atom": -2.25, "dos_ef_per_ev_fu": 2.3, "total_magnetization_mub_per_cell": 2.00, "e_tot_ev_per_cell": -149.657, "density_kg_m3": 8598, "lattice": [[5.591, 0.000, 0.000], [-2.795, 4.842, 0.000], [0.000, 0.000, 8.574]], "species": ["O", "O", "O", "O", "O", "O", "O", "O", "O", "O", "O", "O", "Rh", "Rh", "Ho", "Ho", "Np", "Np"], "fractional_positions": [[0.337, 0.311, 0.376], [0.337, 0.026, 0.124], [0.311, 0.974, 0.624], [0.974, 0.311, 0.124], [0.689, 0.663, 0.124], [0.026, 0.337, 0.624], [0.689, 0.026, 0.376], [0.026, 0.689, 0.876], [0.663, 0.689, 0.624], [0.311, 0.337, 0.876], [0.663, 0.974, 0.876], [0.974, 0.663, 0.376], [0.000, 0.000, 0.000], [0.000, 0.000, 0.500], [0.333, 0.667, 0.250], [0.667, 0.333, 0.750], [0.667, 0.333, 0.250], [0.333, 0.667, 0.750]]}

Entry 2:
{"formula": "HoNpS2O", "functional": "PBE-GGA", "state": "optimized geometry", "formation_energy_uncorrected_ev_per_atom": -2.24, "dos_ef_per_ev_fu": 6.5, "total_magnetization_mub_per_cell": 7.43, "e_tot_ev_per_cell": -83.842, "density_kg_m3": 7968, "lattice": [[3.841, 0.000, 0.000], [0.000, 3.841, 0.000], [0.000, 0.000, 13.617]], "species": ["O", "O", "S", "S", "S", "S", "Np", "Np", "Ho", "Ho"], "fractional_positions": [[0.000, 0.000, 0.500], [0.500, 0.500, 0.500], [0.000, 0.500, 0.692], [0.500, 0.000, 0.308], [0.000, 0.500, 0.094], [0.500, 0.000, 0.906], [0.000, 0.500, 0.407], [0.500, 0.000, 0.593], [0.000, 0.500, 0.882], [0.500, 0.000, 0.118]]}